Material: BaCoSO
Method: DFT, PBE with a Hubbard U
State: optimized geometry

Properties
The total magnetization comes out at 0.7 μB per formula unit. The calculation puts the electronic total energy at -20.8 eV per formula unit.

abc: 3.7576 3.7576 10.4982
angles: 90.00 90.00 90.00
Last column: nearest neighbours and their distance in Å.
Atoms (fractional coordinates):
Ba  0.2500  0.2500  0.1436  5 O 2.59-2.69
Ba  0.7500  0.7500  0.8564  5 O 2.59-2.69
Co  0.2500  0.7500  0.5000  4 S 2.18
Co  0.7500  0.2500  0.5000  4 S 2.18
S  0.2500  0.2500  0.6052  4 Co 2.18
S  0.7500  0.7500  0.3948  4 Co 2.18
O  0.2500  0.2500  0.8973  5 Ba 2.59-2.69
O  0.7500  0.7500  0.1027  5 Ba 2.59-2.69